Record 1
DFT (PBE) results for a relaxed structure of CaPrTm2Hg4.

Properties
Calculated formation energy = -372.7 kJ/mol of formula units

a = 5.2818 Å, b = 5.2818 Å, c = 9.2286 Å
α = 73.37°, β = 73.37°, γ = 60.00°
With the nearest neighbours (Å) after each atom.
Element x y z (fractional)
Ca (0.5000, 0.5000, 0.5000)  8 Hg 3.21-3.23
Pr (0.0000, 0.0000, 0.0000)  8 Hg 3.26-3.29
Tm (0.7524, 0.7524, 0.7427)  8 Hg 3.18-3.39
Tm (0.2476, 0.2476, 0.2573)  8 Hg 3.18-3.39
Hg (0.3772, 0.3772, 0.8683)  1 Ca 3.21, 4 Tm 3.24-3.39, 3 Pr 3.26
Hg (0.8743, 0.8743, 0.3772)  4 Tm 3.18-3.22, 3 Ca 3.23, 1 Pr 3.29
Hg (0.1257, 0.1257, 0.6228)  4 Tm 3.18-3.22, 3 Ca 3.23, 1 Pr 3.29
Hg (0.6228, 0.6228, 0.1317)  1 Ca 3.21, 4 Tm 3.24-3.39, 3 Pr 3.26



Record 2
DFT (PBE) results for a relaxed structure of Ca2PrTmHg4.

Properties
Calculated formation energy = -404.4 kJ/mol of formula units

a = 5.3212 Å, b = 5.3212 Å, c = 9.2669 Å
α = 73.32°, β = 73.32°, γ = 60.00°
With the nearest neighbours (Å) after each atom.
Element x y z (fractional)
Ca (0.7514, 0.7514, 0.7459)  8 Hg 3.18-3.41
Ca (0.2486, 0.2486, 0.2541)  8 Hg 3.18-3.41
Pr (0.0000, 0.0000, 0.0000)  8 Hg 3.29-3.34
Tm (0.5000, 0.5000, 0.5000)  8 Hg 3.19-3.24
Hg (0.3786, 0.3786, 0.8643)  1 Tm 3.19, 4 Ca 3.24-3.41, 3 Pr 3.29
Hg (0.8726, 0.8726, 0.3821)  4 Ca 3.18-3.27, 3 Tm 3.24, 1 Pr 3.34
Hg (0.1274, 0.1274, 0.6179)  4 Ca 3.18-3.27, 3 Tm 3.24, 1 Pr 3.34
Hg (0.6214, 0.6214, 0.1357)  1 Tm 3.19, 4 Ca 3.24-3.41, 3 Pr 3.29



Record 3
DFT (PBE) results for a relaxed structure of CaPrZnHg.

Properties
Calculated formation energy = -150.2 kJ/mol of formula units

a = 3.7675 Å, b = 3.7675 Å, c = 7.5425 Å
α = 90.00°, β = 90.00°, γ = 90.00°
With the nearest neighbours (Å) after each atom.
Element x y z (fractional)
Ca (0.5000, 0.5000, 0.5992)  4 Zn 3.25, 4 Hg 3.29, 1 Pr 3.61
Pr (0.5000, 0.5000, 0.1212)  4 Zn 3.19, 4 Hg 3.34
Zn (0.0000, 0.0000, 0.3532)  4 Pr 3.19, 4 Ca 3.25
Hg (0.0000, 0.0000, 0.8544)  4 Ca 3.29, 4 Pr 3.34



Record 4
DFT (PBE) results for a relaxed structure of CaPrZnHg.

Properties
Calculated formation energy = -160.3 kJ/mol of formula units

a = 5.3225 Å, b = 5.3225 Å, c = 5.3225 Å
α = 60.00°, β = 60.00°, γ = 60.00°
With the nearest neighbours (Å) after each atom.
Element x y z (fractional)
Pr (0.7500, 0.7500, 0.7500)  4 Hg 3.26, 4 Zn 3.26
Zn (0.0000, 0.0000, 0.0000)  4 Pr 3.26, 4 Ca 3.26
Ca (0.2500, 0.2500, 0.2500)  4 Hg 3.26, 4 Zn 3.26
Hg (0.5000, 0.5000, 0.5000)  4 Ca 3.26, 4 Pr 3.26



Record 5
DFT (PBE) results for a relaxed structure of CaHg2Pt.

Properties
Calculated formation energy = -165.8 kJ/mol of formula units

a = 4.0055 Å, b = 4.0310 Å, c = 6.3432 Å
α = 71.45°, β = 90.00°, γ = 90.00°
With the nearest neighbours (Å) after each atom.
Element x y z (fractional)
Ca (0.5000, 0.7186, 0.6881)  4 Pt 2.95, 1 Hg 3.27
Hg (0.0000, 0.0515, 0.0225)  1 Pt 2.79, 4 Hg 3.10-3.11
Hg (0.5000, 0.4464, 0.2312)  2 Pt 2.81, 4 Hg 3.10-3.11
Pt (0.0000, 0.2836, 0.5582)  3 Hg 2.79-2.81, 4 Ca 2.95



Record 6
DFT (PBE) results for a relaxed structure of Ca5HgPt2.

Properties
Calculated formation energy = -575.7 kJ/mol of formula units

a = 7.8423 Å, b = 7.8423 Å, c = 9.1030 Å
α = 115.52°, β = 115.52°, γ = 90.00°
With the nearest neighbours (Å) after each atom.
Element x y z (fractional)
Ca (0.5333, 0.6999, 0.7332)  3 Pt 2.96-3.04
Ca (0.8001, 0.9667, 0.2668)  3 Pt 2.96-3.04
Ca (0.0000, 0.0000, 0.0000)  4 Pt 3.07
Ca (0.5000, 0.5000, 0.0000)  4 Pt 3.07
Ca (0.1999, 0.0333, 0.7332)  3 Pt 2.96-3.04
Ca (0.6999, 0.1999, 0.7332)  3 Pt 2.96-3.04
Ca (0.0333, 0.5333, 0.7332)  3 Pt 2.96-3.04
Ca (0.3001, 0.8001, 0.2668)  3 Pt 2.96-3.04
Ca (0.9667, 0.4667, 0.2668)  3 Pt 2.96-3.04
Ca (0.4667, 0.3001, 0.2668)  3 Pt 2.96-3.04
Hg (0.7500, 0.7500, 0.5000)  10 Ca 3.37-3.61
Hg (0.2500, 0.2500, 0.5000)  10 Ca 3.37-3.61
Pt (0.1303, 0.3697, 0.0000)  1 Pt 2.89, 8 Ca 2.96-3.07
Pt (0.6303, 0.1303, 0.0000)  1 Pt 2.89, 8 Ca 2.96-3.07
Pt (0.3697, 0.8697, 0.0000)  1 Pt 2.89, 8 Ca 2.96-3.07
Pt (0.8697, 0.6303, 0.0000)  1 Pt 2.89, 8 Ca 2.96-3.07



Please write out number 1 again, unchanged.
DFT (PBE) results for a relaxed structure of CaPrTm2Hg4.

Properties
Calculated formation energy = -372.7 kJ/mol of formula units

a = 5.2818 Å, b = 5.2818 Å, c = 9.2286 Å
α = 73.37°, β = 73.37°, γ = 60.00°
With the nearest neighbours (Å) after each atom.
Element x y z (fractional)
Ca (0.5000, 0.5000, 0.5000)  8 Hg 3.21-3.23
Pr (0.0000, 0.0000, 0.0000)  8 Hg 3.26-3.29
Tm (0.7524, 0.7524, 0.7427)  8 Hg 3.18-3.39
Tm (0.2476, 0.2476, 0.2573)  8 Hg 3.18-3.39
Hg (0.3772, 0.3772, 0.8683)  1 Ca 3.21, 4 Tm 3.24-3.39, 3 Pr 3.26
Hg (0.8743, 0.8743, 0.3772)  4 Tm 3.18-3.22, 3 Ca 3.23, 1 Pr 3.29
Hg (0.1257, 0.1257, 0.6228)  4 Tm 3.18-3.22, 3 Ca 3.23, 1 Pr 3.29
Hg (0.6228, 0.6228, 0.1317)  1 Ca 3.21, 4 Tm 3.24-3.39, 3 Pr 3.26